Entry 1:
K3La3TcO8 after structural relaxation. Source: the Alexandria database, functional GGA-PBE.

POSCAR file:
```
K3La3TcO8
1.0
3.581 2.068 6.287
-3.581 2.068 6.287
0.000 -4.135 6.287
K La Tc O
3 3 1 8
Cartesian
-1.791 -1.034 6.287
-1.791 1.034 12.574
0.000 2.068 6.287
-3.581 0.000 9.430
-1.791 1.034 3.143
1.791 1.034 3.143
0.000 0.000 9.430
0.000 0.000 4.350
-1.571 -0.907 10.524
0.000 -1.814 8.337
-1.571 0.907 8.337
1.571 -0.907 10.524
0.000 1.814 10.524
1.571 0.907 8.337
0.000 0.000 14.511
```

Results
For the total moment, the calculation gives 3.00 μB/f.u. As for the crystal system: trigonal. The total energy is -103.9 eV per cell. The value obtained for the energy relative to the elements, uncorrected is -2.39 eV/atom.

=====

Entry 2:
K4LaTe3O12 after structural relaxation. Source: the Alexandria database, functional GGA-PBE.

POSCAR file:
```
K4LaTe3O12
1.0
-4.194 4.194 4.194
4.194 -4.194 4.194
4.194 4.194 -4.194
K La Te O
4 1 3 12
Cartesian
2.097 2.097 -2.097
2.097 -2.097 2.097
-2.097 2.097 2.097
2.097 2.097 2.097
0.000 0.000 0.000
4.194 0.000 0.000
0.000 4.194 0.000
0.000 0.000 4.194
2.296 0.000 0.000
6.093 0.000 0.000
4.194 2.097 0.000
4.194 0.000 2.097
0.000 2.296 0.000
0.000 0.000 2.296
2.097 4.194 0.000
2.097 0.000 4.194
0.000 6.093 0.000
0.000 0.000 6.093
0.000 4.194 2.097
0.000 2.097 4.194
```

Results
For the total moment, the calculation gives 0.00 μB/f.u. As for the crystal system: cubic. The total energy is -108.9 eV per cell. The value obtained for the energy relative to the elements, uncorrected is -1.53 eV/atom.

=====

Entry 3:
K2LaTe2O6 after structural relaxation. Source: the Alexandria database, functional GGA-PBE.

POSCAR file:
```
K2LaTe2O6
1.0
5.220 -3.584 0.000
5.220 3.584 0.000
-3.180 0.000 6.118
K La Te O
2 1 2 6
Cartesian
1.362 0.000 0.922
5.898 0.000 5.196
-1.590 0.000 3.059
2.495 0.000 4.642
4.766 0.000 1.477
4.358 1.983 1.466
2.902 1.983 4.652
0.786 0.000 3.841
6.474 0.000 2.278
4.358 -1.983 1.466
2.902 -1.983 4.652
```

Results
For the total moment, the calculation gives 0.00 μB/f.u. As for the crystal system: monoclinic. The total energy is -60.9 eV per cell. The value obtained for the energy relative to the elements, uncorrected is -1.61 eV/atom.

=====

Entry 4:
K3LaTe2O9 after structural relaxation. Source: the Alexandria database, functional GGA-PBE.

POSCAR file:
```
K3LaTe2O9
1.0
5.922 0.000 0.000
-2.961 5.129 0.000
0.000 0.000 7.407
K La Te O
3 1 2 9
Cartesian
0.000 0.000 0.000
0.000 3.419 5.014
2.961 1.710 2.394
0.000 0.000 3.704
0.000 3.419 1.191
2.961 1.710 6.216
-1.481 2.565 0.000
0.000 1.836 2.246
-1.371 4.211 2.246
1.590 0.918 5.161
2.961 0.000 0.000
1.481 2.565 0.000
1.371 4.211 2.246
4.333 0.918 5.161
2.961 3.293 5.161
```

Results
For the total moment, the calculation gives 0.00 μB/f.u. As for the crystal system: trigonal. The total energy is -84.3 eV per cell. The value obtained for the energy relative to the elements, uncorrected is -1.68 eV/atom.

=====

Entry 5:
K2LaTi2O7 after structural relaxation. Source: the Alexandria database, functional GGA-PBE.

POSCAR file:
```
K2LaTi2O7
1.0
-1.964 1.964 10.903
1.964 -1.964 10.903
1.964 1.964 -10.903
K La Ti O
2 1 2 7
Cartesian
0.000 0.000 4.167
0.000 0.000 17.639
0.000 0.000 0.000
0.000 0.000 8.761
0.000 0.000 13.045
1.964 0.000 1.792
0.000 0.000 6.980
1.964 0.000 9.111
0.000 0.000 10.903
0.000 1.964 1.792
0.000 0.000 14.826
0.000 1.964 9.111
```

Results
For the total moment, the calculation gives 0.99 μB/f.u. As for the crystal system: tetragonal. The total energy is -90.0 eV per cell. The value obtained for the energy relative to the elements, uncorrected is -2.70 eV/atom.

=====

Entry 6:
K2La2Ti3O10 after structural relaxation. Source: the Alexandria database, functional GGA-PBE.

POSCAR file:
```
K2La2Ti3O10
1.0
-1.956 1.956 15.023
1.956 -1.956 15.023
1.956 1.956 -15.023
K La Ti O
2 2 3 10
Cartesian
0.000 0.000 6.242
0.000 0.000 23.805
0.000 0.000 2.151
0.000 0.000 27.895
0.000 0.000 10.820
0.000 0.000 15.023
0.000 0.000 19.226
1.956 0.000 0.000
1.956 0.000 3.801
0.000 0.000 9.056
1.956 0.000 11.223
0.000 0.000 13.092
0.000 1.956 0.000
0.000 0.000 16.954
0.000 1.956 3.801
0.000 0.000 20.990
0.000 1.956 11.223
```

Results
For the total moment, the calculation gives 0.00 μB/f.u. As for the crystal system: tetragonal. The total energy is -136.8 eV per cell. The value obtained for the energy relative to the elements, uncorrected is -3.03 eV/atom.

=====

Entry 7:
K4La3TiO8 after structural relaxation. Source: the Alexandria database, functional GGA-PBE.

POSCAR file:
```
K4La3TiO8
1.0
6.237 -3.585 0.000
6.237 3.585 0.000
-4.147 0.000 6.249
K La Ti O
4 3 1 8
Cartesian
0.000 0.000 0.000
3.119 1.793 0.000
3.119 -1.793 0.000
6.237 0.000 0.000
-2.074 0.000 3.124
1.045 1.793 3.124
1.045 -1.793 3.124
4.164 0.000 3.124
0.001 0.000 4.359
3.244 1.604 4.235
2.170 0.000 1.927
5.084 1.604 2.014
3.244 -1.604 4.235
6.158 0.000 4.321
5.084 -1.604 2.014
8.326 0.000 1.890
```

Results
For the total moment, the calculation gives 1.01 μB/f.u. As for the crystal system: monoclinic. The total energy is -106.6 eV per cell. The value obtained for the energy relative to the elements, uncorrected is -2.49 eV/atom.

=====

Entry 8:
KLaTi2O6 after structural relaxation. Source: the Alexandria database, functional GGA-PBE.

POSCAR file:
```
KLaTi2O6
1.0
5.453 -5.220 0.000
5.453 5.220 0.000
-1.769 0.000 5.989
K La Ti O
2 2 4 12
Cartesian
4.126 3.254 4.491
5.010 -3.254 1.497
5.010 1.110 1.497
4.126 -1.110 4.491
0.915 0.858 4.600
1.799 -0.858 1.606
7.338 0.858 4.383
8.222 -0.858 1.389
3.342 2.732 1.801
1.671 0.152 0.031
0.786 -0.152 3.025
2.661 0.827 5.153
6.679 2.732 1.194
3.545 -0.827 2.159
5.591 0.827 3.830
2.458 -2.732 4.795
6.476 -0.827 0.835
8.350 0.152 2.963
7.466 -0.152 5.958
5.794 -2.732 4.188
```

Results
For the total moment, the calculation gives 0.00 μB/f.u. As for the crystal system: monoclinic. The total energy is -163.7 eV per cell. The value obtained for the energy relative to the elements, uncorrected is -3.03 eV/atom.

=====

Entry 9:
K3La2TlO6 after structural relaxation. Source: the Alexandria database, functional GGA-PBE.

POSCAR file:
```
K3La2TlO6
1.0
3.154 -5.464 0.000
3.154 5.464 0.000
-2.084 0.000 6.322
K La Tl O
3 2 1 6
Cartesian
0.000 0.000 0.000
3.154 1.753 0.000
3.154 -1.753 0.000
2.112 3.638 3.161
2.112 -3.638 3.161
2.112 0.000 3.161
1.072 1.799 1.913
0.039 0.000 4.400
1.072 -1.799 1.913
3.152 1.799 4.409
4.185 0.000 1.922
3.152 -1.799 4.409
```

Results
For the total moment, the calculation gives 0.00 μB/f.u. As for the crystal system: monoclinic. The total energy is -70.3 eV per cell. The value obtained for the energy relative to the elements, uncorrected is -2.09 eV/atom.

=====

Entry 10:
K4LaU3O12 after structural relaxation. Source: the Alexandria database, functional GGA-PBE.

POSCAR file:
```
K4LaU3O12
1.0
-4.381 4.381 4.381
4.381 -4.381 4.381
4.381 4.381 -4.381
K La U O
4 1 3 12
Cartesian
2.191 2.191 -2.191
2.191 -2.191 2.191
-2.191 2.191 2.191
2.191 2.191 2.191
0.000 0.000 0.000
4.381 0.000 0.000
0.000 4.381 0.000
0.000 0.000 4.381
2.376 0.000 0.000
6.387 0.000 0.000
4.381 2.191 0.000
4.381 0.000 2.191
0.000 2.376 0.000
0.000 0.000 2.376
2.191 4.381 0.000
2.191 0.000 4.381
0.000 6.387 0.000
0.000 0.000 6.387
0.000 4.381 2.191
0.000 2.191 4.381
```

Results
For the total moment, the calculation gives 1.00 μB/f.u. As for the crystal system: cubic. The total energy is -160.8 eV per cell. The value obtained for the energy relative to the elements, uncorrected is -2.91 eV/atom.

=====

Entry 11:
KLa2UO6 after structural relaxation. Source: the Alexandria database, functional GGA-PBE.

POSCAR file:
```
KLa2UO6
1.0
3.108 1.794 5.379
-3.108 1.794 5.379
0.000 -3.589 5.379
K La U O
1 2 1 6
Cartesian
0.000 0.000 0.000
0.000 0.000 3.645
0.000 0.000 11.916
0.000 0.000 8.523
-0.929 -1.738 7.552
-1.596 0.234 9.950
-1.041 1.673 7.552
0.596 -1.499 9.950
1.970 0.065 7.552
1.000 1.265 9.950
```

Results
For the total moment, the calculation gives 1.00 μB/f.u. As for the crystal system: trigonal. The total energy is -83.4 eV per cell. The value obtained for the energy relative to the elements, uncorrected is -3.14 eV/atom.

=====

Entry 12:
K3La2UO6 after structural relaxation. Source: the Alexandria database, functional GGA-PBE.

POSCAR file:
```
K3La2UO6
1.0
3.191 -5.528 0.000
3.191 5.528 0.000
-2.128 0.000 6.340
K La U O
3 2 1 6
Cartesian
0.000 0.000 0.000
3.191 1.824 0.000
3.191 -1.824 0.000
2.128 3.686 3.170
2.128 -3.686 3.170
2.128 0.000 3.170
1.135 1.715 2.006
0.141 0.000 4.341
1.135 -1.715 2.006
3.120 1.715 4.335
4.114 0.000 1.999
3.120 -1.715 4.335
```

Results
For the total moment, the calculation gives 3.04 μB/f.u. As for the crystal system: monoclinic. The total energy is -84.2 eV per cell. The value obtained for the energy relative to the elements, uncorrected is -2.50 eV/atom.